No. 1
The following is a PBE-GGA calculation of a relaxed BC crystal, from Alexandria via LeMat-Bulk.

## Properties
VASP energy = -90.07 eV/cell

Cell: 4.634 4.634 4.743 Å, 96.53 96.53 123.43°
Positions (direct):
B1 0.056 0.377 0.100
B2 0.257 0.257 0.600
B3 0.377 0.056 0.100
B4 0.623 0.944 0.900
B5 0.743 0.743 0.400
B6 0.944 0.623 0.900
C1 0.140 0.481 0.442
C2 0.311 0.311 0.943
C3 0.481 0.140 0.442
C4 0.519 0.860 0.558
C5 0.689 0.689 0.057
C6 0.860 0.519 0.558

***

No. 2
The following is a PBE-GGA calculation of a relaxed BC crystal, from Alexandria via LeMat-Bulk.

## Properties
VASP energy = -90.79 eV/cell

Cell: 4.303 4.303 8.215 Å, 115.34 115.34 35.09°
Positions (direct):
B1 0.000 0.000 0.000
B2 0.064 0.064 0.243
B3 0.235 0.235 0.115
B4 0.333 0.333 0.887
B5 0.516 0.516 0.769
B6 0.682 0.682 0.576
C1 0.128 0.128 0.880
C2 0.296 0.296 0.673
C3 0.465 0.465 0.515
C4 0.670 0.670 0.368
C5 0.857 0.857 0.217
C6 0.870 0.870 0.414

***

No. 3
The following is a PBE-GGA calculation of a relaxed B7C5 crystal, from Alexandria via LeMat-Bulk.

## Properties
VASP energy = -87.48 eV/cell

Cell: 4.794 4.794 7.801 Å, 113.62 113.62 31.49°
Positions (direct):
B1 0.000 0.000 0.000
B2 0.129 0.129 0.706
B3 0.299 0.299 0.125
B4 0.362 0.362 0.644
B5 0.522 0.522 0.376
B6 0.680 0.680 0.870
B7 0.974 0.974 0.497
C1 0.164 0.164 0.206
C2 0.496 0.496 0.857
C3 0.666 0.666 0.318
C4 0.809 0.809 0.519
C5 0.842 0.842 0.052

***

No. 4
The following is a PBE-GGA calculation of a relaxed BC crystal, from Alexandria via LeMat-Bulk.

## Properties
VASP energy = -90.81 eV/cell

Cell: 4.478 2.647 7.391 Å, 90.00 90.29 90.00°
Positions (direct):
B1 0.000 0.000 0.000
B2 0.042 0.500 0.615
B3 0.237 0.500 0.909
B4 0.537 0.000 0.666
B5 0.585 0.500 0.309
B6 0.642 0.000 0.045
C1 0.062 0.000 0.236
C2 0.243 0.500 0.250
C3 0.362 0.500 0.703
C4 0.481 0.500 0.080
C5 0.774 0.000 0.359
C6 0.858 0.000 0.567

***

No. 5
The following is a PBE-GGA calculation of a relaxed B7C5 crystal, from Alexandria via LeMat-Bulk.

## Properties
VASP energy = -88.37 eV/cell

Cell: 4.697 2.691 8.068 Å, 90.00 94.41 90.00°
Positions (direct):
B1 0.000 0.000 0.000
B2 0.001 0.000 0.799
B3 0.185 0.500 0.922
B4 0.276 0.500 0.423
B5 0.499 0.000 0.621
B6 0.784 0.000 0.427
B7 0.921 0.500 0.662
C1 0.446 0.000 0.426
C2 0.529 0.500 0.904
C3 0.572 0.500 0.713
C4 0.684 0.000 0.956
C5 0.953 0.500 0.459

***

No. 6
The following is a PBE-GGA calculation of a relaxed B3C2 crystal, from Alexandria via LeMat-Bulk.

## Properties
VASP energy = -71.76 eV/cell

Cell: 12.257 12.257 12.257 Å, 12.70 12.70 12.70°
Positions (direct):
B1 0.044 0.044 0.044
B2 0.178 0.178 0.178
B3 0.226 0.226 0.226
B4 0.774 0.774 0.774
B5 0.822 0.822 0.822
B6 0.956 0.956 0.956
C1 0.382 0.382 0.382
C2 0.425 0.425 0.425
C3 0.575 0.575 0.575
C4 0.618 0.618 0.618

***

No. 7
The following is a PBE-GGA calculation of a relaxed BC crystal, from Alexandria via LeMat-Bulk.

## Properties
VASP energy = -91.59 eV/cell

Cell: 2.622 2.622 16.710 Å, 90.00 90.00 120.00°
Positions (direct):
B1 0.000 0.000 0.000
B2 0.000 0.000 0.101
B3 0.000 0.000 0.380
B4 0.333 0.667 0.834
B5 0.667 0.333 0.272
B6 0.667 0.333 0.935
C1 0.000 0.000 0.607
C2 0.333 0.667 0.145
C3 0.333 0.667 0.229
C4 0.333 0.667 0.607
C5 0.667 0.333 0.370
C6 0.667 0.333 0.841

***

No. 8
The following is a PBE-GGA calculation of a relaxed B3C crystal, from Alexandria via LeMat-Bulk.

## Properties
VASP energy = -81.20 eV/cell

Cell: 5.031 2.492 7.240 Å, 90.00 94.99 90.00°
Positions (direct):
B1 0.000 0.000 0.000
B2 0.021 0.000 0.765
B3 0.238 0.500 0.661
B4 0.297 0.000 0.337
B5 0.379 0.000 0.113
B6 0.518 0.500 0.979
B7 0.788 0.000 0.513
B8 0.839 0.500 0.134
B9 0.913 0.500 0.365
C1 0.230 0.500 0.440
C2 0.547 0.500 0.765
C3 0.680 0.000 0.702

***

No. 9
The following is a PBE-GGA calculation of a relaxed BC crystal, from Alexandria via LeMat-Bulk.

## Properties
VASP energy = -60.92 eV/cell

Cell: 4.340 4.340 4.979 Å, 91.14 91.14 34.03°
Positions (direct):
B1 0.085 0.085 0.410
B2 0.140 0.140 0.775
B3 0.860 0.860 0.225
B4 0.915 0.915 0.590
C1 0.333 0.333 0.744
C2 0.412 0.412 0.017
C3 0.588 0.588 0.983
C4 0.667 0.667 0.256

***

No. 10
The following is a PBE-GGA calculation of a relaxed BC crystal, from Alexandria via LeMat-Bulk.

## Properties
VASP energy = -91.09 eV/cell

Cell: 3.710 3.974 5.888 Å, 86.94 72.99 88.92°
Positions (direct):
B1 0.000 0.000 0.000
B2 0.000 0.131 0.716
B3 0.508 0.895 0.242
B4 0.609 0.532 0.707
B5 0.724 0.160 0.448
B6 0.835 0.589 0.093
C1 0.044 0.403 0.257
C2 0.214 0.618 0.413
C3 0.319 0.157 0.105
C4 0.347 0.369 0.579
C5 0.675 0.340 0.937
C6 0.874 0.833 0.567

***

No. 11
The following is a PBE-GGA calculation of a relaxed BC crystal, from Alexandria via LeMat-Bulk.

## Properties
VASP energy = -91.27 eV/cell

Cell: 4.413 4.413 8.164 Å, 115.33 115.33 34.02°
Positions (direct):
B1 0.000 0.000 0.000
B2 0.089 0.089 0.845
B3 0.376 0.376 0.460
B4 0.410 0.410 0.833
B5 0.512 0.512 0.684
B6 0.650 0.650 0.533
C1 0.214 0.214 0.049
C2 0.283 0.283 0.621
C3 0.592 0.592 0.306
C4 0.786 0.786 0.334
C5 0.800 0.800 0.153
C6 0.998 0.998 0.198

***

For each record above, in turn, the calculated energy relative to the elements values are 0.9, 0.8, 5.4, 0.8, 4.5, 2.6, 0.6, 2.2, 0.7, 0.7, 0.7 eV per formula unit.
For each record above, in turn, the calculated relative energy among the computed polymorphs values are 0.294, 0.234, 0.284, 0.233, 0.210, 0.309, 0.167, 0.307, 0.185, 0.209, 0.194 eV per atom.